# 1
Computed, not measured: crystalline LaPu3Cu8 at its relaxed geometry at the GGA-PBE level of DFT.

Geometry as extended XYZ:
```
12
Lattice="5.274 0.000 0.000 -2.637 4.568 0.000 0.000 0.000 8.601" Properties=species:S:1:pos:R:3 pbc="T T T"
Cu 0.000 3.045 8.588
Cu 0.000 1.555 2.133
Cu 1.307 2.291 6.476
Cu 0.000 3.045 4.296
Cu -1.307 2.291 6.476
Cu -1.290 3.790 2.133
Cu 1.290 3.790 2.133
Cu 0.000 4.554 6.476
La 0.000 0.000 4.802
Pu 2.637 1.523 3.727
Pu 2.637 1.523 0.470
Pu 0.000 0.000 8.201
```

Properties
E ... -6.7815 eV/atom
Fermi-level density of states ... 2.322 states/eV per atom
Total magnetic moment ... 17.531 μB/f.u.
Energy relative to the elements ... -0.057 eV/atom

# 2
Computed, not measured: crystalline LaPu2Cu9 at its relaxed geometry at the GGA-PBE level of DFT.

Geometry as extended XYZ:
```
12
Lattice="-0.437 3.715 3.613 -4.646 1.079 2.073 -0.331 -4.097 7.915" Properties=species:S:1:pos:R:3 pbc="T T T"
Cu -2.434 2.847 6.112
Cu -4.512 1.545 5.351
Cu -0.902 -0.849 8.249
Cu -1.687 1.568 1.927
Cu -3.195 -0.317 9.272
Cu -2.219 1.013 4.329
Cu -3.727 -0.871 11.674
Cu -2.980 -2.150 7.489
Cu -2.707 0.348 6.800
Pu -0.938 -1.560 5.233
Pu -4.476 2.257 8.367
La 0.000 0.000 0.000
```

Properties
E ... -5.9616 eV/atom
Fermi-level density of states ... 1.630 states/eV per atom
Total magnetic moment ... 11.734 μB/f.u.
Energy relative to the elements ... -0.090 eV/atom

# 3
Computed, not measured: crystalline LaPuCu2 at its relaxed geometry at the GGA-PBE level of DFT.

Geometry as extended XYZ:
```
4
Lattice="5.049 0.000 0.000 2.524 4.373 0.000 2.524 1.458 4.122" Properties=species:S:1:pos:R:3 pbc="T T T"
Cu 2.524 1.458 1.031
Cu 7.573 4.373 3.092
La 5.049 2.915 2.061
Pu 0.000 0.000 0.000
```

Properties
E ... -6.8329 eV/atom
Fermi-level density of states ... 2.890 states/eV per atom
Total magnetic moment ... 5.978 μB/f.u.
Energy relative to the elements ... 0.030 eV/atom